# Sb2WIO PBE+U optimized geometry
data_Sb2WIO
_symmetry_space_group_name_H-M 'P 1'
_symmetry_Int_Tables_number 1
_cell_length_a 5.2489
_cell_length_b 5.2489
_cell_length_c 5.3826
_cell_angle_alpha 90.00
_cell_angle_beta 90.00
_cell_angle_gamma 90.00
loop_
_symmetry_equiv_pos_as_xyz
'x,y,z'
loop_
_atom_site_label
_atom_site_fract_x
_atom_site_fract_y
_atom_site_fract_z
_atom_site_occupancy
Sb1 0.0000 0.5000 0.0000 1
Sb2 0.5000 0.0000 0.0000 1
W1 0.0000 0.0000 0.0000 1
I1 0.0000 0.0000 0.5000 1
O1 0.5000 0.5000 0.5000 1
# polymorph energy (0 for the lowest one) = 693 meV per atom
# M_tot = 0.0 μB per formula unit
# volume = 29.7 A^3/atom